1.
Tb6Te3Ir2S after structural relaxation, computed with PBE-GGA.

Unit cell a=7.207 b=7.207 c=7.597 alpha=99.24 beta=99.24 gamma=120.07
Element x y z (fractional)
Tb 0.088 0.432 0.791
Tb 0.226 0.226 0.209
Tb 0.432 0.088 0.791
Tb 0.568 0.912 0.209
Tb 0.774 0.774 0.791
Tb 0.912 0.568 0.209
Te 0.000 0.000 0.500
Te 0.337 0.663 0.500
Te 0.663 0.337 0.500
Ir 0.167 0.833 0.000
Ir 0.833 0.167 0.000
S 0.500 0.500 0.000

Computed properties:
space-group type: C2/m (12)
size of the total moment: 0.0 μB per formula unit
energy relative to the elements, uncorrected: -1.29 eV/atom
calculated total energy: -6.21 eV/atom
V: 323.4 Å³ per cell



2.
TbThIrS after structural relaxation, computed with PBE-GGA.

Unit cell a=7.671 b=7.671 c=7.671 alpha=29.83 beta=29.83 gamma=29.83
Element x y z (fractional)
Tb 0.000 0.000 0.000
Th 0.819 0.819 0.819
Ir 0.411 0.411 0.411
S 0.582 0.582 0.582

Computed properties:
space-group type: R3m (160)
size of the total moment: 0.0 μB per formula unit
energy relative to the elements, uncorrected: -1.28 eV/atom
calculated total energy: -7.54 eV/atom
V: 98.9 Å³ per cell



3.
TcIrS2 after structural relaxation, computed with PBE-GGA.

Unit cell a=6.433 b=6.433 c=6.433 alpha=131.82 beta=131.82 gamma=70.51
Element x y z (fractional)
Tc 0.000 0.000 0.000
Tc 0.750 0.250 0.500
Ir 0.250 0.750 0.500
Ir 0.500 0.500 0.000
S 0.122 0.625 0.997
S 0.375 0.372 0.497
S 0.628 0.125 0.003
S 0.875 0.878 0.503

Computed properties:
space-group type: I-42d (122)
size of the total moment: 0.0 μB per formula unit
energy relative to the elements, uncorrected: -0.05 eV/atom
calculated total energy: -6.92 eV/atom
V: 144.8 Å³ per cell



4.
TcIrS2 after structural relaxation, computed with PBE-GGA.

Unit cell a=4.268 b=4.268 c=4.268 alpha=60.00 beta=60.00 gamma=60.00
Element x y z (fractional)
Tc 0.000 0.000 0.000
Ir 0.500 0.500 0.500
S 0.250 0.250 0.250
S 0.750 0.750 0.750

Computed properties:
space-group type: Fm-3m (225)
size of the total moment: 0.0 μB per formula unit
energy relative to the elements, uncorrected: 0.33 eV/atom
calculated total energy: -6.54 eV/atom
V: 55.0 Å³ per cell



5.
TcIrS2 after structural relaxation, computed with PBE-GGA.

Unit cell a=7.980 b=7.980 c=7.980 alpha=21.77 beta=21.77 gamma=21.77
Element x y z (fractional)
Tc 0.000 0.000 0.000
Ir 0.500 0.500 0.500
S 0.404 0.404 0.404
S 0.596 0.596 0.596

Computed properties:
space-group type: R-3m (166)
size of the total moment: 0.0 μB per formula unit
energy relative to the elements, uncorrected: -0.12 eV/atom
calculated total energy: -6.99 eV/atom
V: 61.2 Å³ per cell



6.
TcIrS2 after structural relaxation, computed with PBE-GGA.

Unit cell a=7.593 b=7.593 c=7.593 alpha=25.02 beta=25.02 gamma=25.02
Element x y z (fractional)
Tc 0.000 0.000 0.000
Ir 0.500 0.500 0.500
S 0.103 0.103 0.103
S 0.897 0.897 0.897

Computed properties:
space-group type: R-3m (166)
size of the total moment: 0.0 μB per formula unit
energy relative to the elements, uncorrected: 0.26 eV/atom
calculated total energy: -6.61 eV/atom
V: 68.9 Å³ per cell



7.
Tc3IrS after structural relaxation, computed with PBE-GGA.

Unit cell a=4.291 b=4.291 c=4.291 alpha=90.00 beta=90.00 gamma=90.00
Element x y z (fractional)
Tc 0.000 0.000 0.500
Tc 0.000 0.500 0.000
Tc 0.500 0.000 0.000
Ir 0.500 0.500 0.500
S 0.000 0.000 0.000

Computed properties:
space-group type: Pm-3m (221)
size of the total moment: 0.0 μB per formula unit
energy relative to the elements, uncorrected: 0.64 eV/atom
calculated total energy: -8.17 eV/atom
V: 79.0 Å³ per cell



8.
TcIrS3 after structural relaxation, computed with PBE-GGA.

Unit cell a=4.649 b=4.649 c=4.649 alpha=90.00 beta=90.00 gamma=90.00
Element x y z (fractional)
Tc 0.000 0.000 0.000
Ir 0.500 0.500 0.500
S 0.000 0.500 0.500
S 0.500 0.000 0.500
S 0.500 0.500 0.000

Computed properties:
space-group type: Pm-3m (221)
size of the total moment: 3.3 μB per formula unit
energy relative to the elements, uncorrected: 1.00 eV/atom
calculated total energy: -5.32 eV/atom
V: 100.5 Å³ per cell



9.
Tc3IrS after structural relaxation, computed with PBE-GGA.

Unit cell a=4.746 b=4.746 c=4.746 alpha=90.00 beta=90.00 gamma=90.00
Element x y z (fractional)
Tc 0.000 0.000 0.500
Tc 0.000 0.500 0.000
Tc 0.500 0.000 0.000
Ir 0.000 0.000 0.000
S 0.500 0.500 0.500

Computed properties:
space-group type: Pm-3m (221)
size of the total moment: 4.0 μB per formula unit
energy relative to the elements, uncorrected: 1.95 eV/atom
calculated total energy: -6.87 eV/atom
V: 106.9 Å³ per cell



10.
TiTcIrS2 after structural relaxation, computed with PBE-GGA.

Unit cell a=4.519 b=4.519 c=4.790 alpha=90.00 beta=90.00 gamma=90.00
Element x y z (fractional)
Ti 0.000 0.000 0.000
Tc 0.500 0.500 0.500
Ir 0.500 0.500 0.000
S 0.000 0.500 0.500
S 0.500 0.000 0.500

Computed properties:
space-group type: P4/mmm (123)
size of the total moment: 0.3 μB per formula unit
energy relative to the elements, uncorrected: 0.67 eV/atom
calculated total energy: -6.41 eV/atom
V: 97.8 Å³ per cell



11.
TlTc2IrS after structural relaxation, computed with PBE-GGA.

Unit cell a=5.192 b=5.192 c=4.814 alpha=90.00 beta=90.00 gamma=90.00
Element x y z (fractional)
Tl 0.000 0.000 0.000
Tc 0.000 0.500 0.000
Tc 0.500 0.000 0.000
Ir 0.500 0.500 0.500
S 0.000 0.000 0.500

Computed properties:
space-group type: P4/mmm (123)
size of the total moment: 8.5 μB per formula unit
energy relative to the elements, uncorrected: 2.68 eV/atom
calculated total energy: -4.54 eV/atom
V: 129.7 Å³ per cell



12.
TeIrS4 after structural relaxation, computed with PBE-GGA.

Unit cell a=4.844 b=4.845 c=6.779 alpha=71.31 beta=71.54 gamma=83.32
Element x y z (fractional)
Te 0.000 0.000 0.000
Ir 0.724 0.276 0.499
S 0.166 0.327 0.579
S 0.558 0.170 0.872
S 0.672 0.835 0.420
S 0.830 0.444 0.126

Computed properties:
space-group type: P1 (1)
size of the total moment: 0.0 μB per formula unit
energy relative to the elements, uncorrected: 0.18 eV/atom
calculated total energy: -4.57 eV/atom
V: 142.9 Å³ per cell



13.
Th4TeIrS2 after structural relaxation, computed with PBE-GGA.

Unit cell a=7.239 b=4.093 c=7.567 alpha=90.00 beta=108.74 gamma=90.00
Element x y z (fractional)
Th 0.225 0.000 0.223
Th 0.257 0.500 0.777
Th 0.743 0.500 0.223
Th 0.775 0.000 0.777
Te 0.500 0.500 0.500
Ir 0.500 0.000 0.000
S 0.000 0.000 0.500
S 0.000 0.500 0.000

Computed properties:
space-group type: P2/m (10)
size of the total moment: 0.0 μB per formula unit
energy relative to the elements, uncorrected: -1.38 eV/atom
calculated total energy: -7.62 eV/atom
V: 212.3 Å³ per cell



14.
Th6TeIr2S3 after structural relaxation, computed with PBE-GGA.

Unit cell a=9.360 b=9.360 c=8.585 alpha=101.79 beta=101.79 gamma=25.36
Element x y z (fractional)
Th 0.005 0.005 0.278
Th 0.322 0.322 0.901
Th 0.330 0.330 0.436
Th 0.670 0.670 0.564
Th 0.678 0.678 0.099
Th 0.995 0.995 0.722
Te 0.500 0.500 0.000
Ir 0.168 0.168 0.327
Ir 0.832 0.832 0.673
S 0.158 0.158 0.827
S 0.500 0.500 0.500
S 0.842 0.842 0.173

Computed properties:
space-group type: C2/m (12)
size of the total moment: 0.0 μB per formula unit
energy relative to the elements, uncorrected: -1.37 eV/atom
calculated total energy: -7.85 eV/atom
V: 315.0 Å³ per cell



15.
Th8Te4Ir3S after structural relaxation, computed with PBE-GGA.

Unit cell a=8.978 b=8.978 c=8.978 alpha=56.09 beta=56.09 gamma=56.09
Element x y z (fractional)
Th 0.232 0.739 0.739
Th 0.233 0.233 0.233
Th 0.261 0.261 0.768
Th 0.261 0.768 0.261
Th 0.739 0.232 0.739
Th 0.739 0.739 0.232
Th 0.767 0.767 0.767
Th 0.768 0.261 0.261
Te 0.000 0.000 0.000
Te 0.000 0.500 0.500
Te 0.500 0.000 0.500
Te 0.500 0.500 0.000
Ir 0.000 0.000 0.500
Ir 0.000 0.500 0.000
Ir 0.500 0.000 0.000
S 0.500 0.500 0.500

Computed properties:
space-group type: R-3m (166)
size of the total moment: 0.0 μB per formula unit
energy relative to the elements, uncorrected: -1.20 eV/atom
calculated total energy: -7.61 eV/atom
V: 465.5 Å³ per cell



16.
Th3TeIrS after structural relaxation, computed with PBE-GGA.

Unit cell a=8.596 b=4.297 c=9.587 alpha=90.00 beta=100.87 gamma=90.00
Element x y z (fractional)
Th 0.036 0.250 0.340
Th 0.252 0.250 0.967
Th 0.385 0.750 0.609
Th 0.615 0.250 0.391
Th 0.748 0.750 0.033
Th 0.964 0.750 0.660
Te 0.294 0.750 0.248
Te 0.706 0.250 0.752
Ir 0.177 0.250 0.638
Ir 0.823 0.750 0.362
S 0.423 0.750 0.897
S 0.577 0.250 0.103

Computed properties:
space-group type: P2_1/m (11)
size of the total moment: 0.0 μB per formula unit
energy relative to the elements, uncorrected: -1.07 eV/atom
calculated total energy: -7.47 eV/atom
V: 347.8 Å³ per cell



17.
Th6Te3Ir2S after structural relaxation, computed with PBE-GGA.

Unit cell a=7.388 b=7.388 c=7.834 alpha=99.02 beta=99.02 gamma=119.85
Element x y z (fractional)
Th 0.082 0.431 0.793
Th 0.220 0.220 0.206
Th 0.431 0.082 0.793
Th 0.569 0.918 0.207
Th 0.780 0.780 0.794
Th 0.918 0.569 0.207
Te 0.000 0.000 0.500
Te 0.339 0.661 0.500
Te 0.661 0.339 0.500
Ir 0.167 0.833 0.000
Ir 0.833 0.167 0.000
S 0.500 0.500 0.000

Computed properties:
space-group type: C2/m (12)
size of the total moment: 0.0 μB per formula unit
energy relative to the elements, uncorrected: -1.23 eV/atom
calculated total energy: -7.55 eV/atom
V: 352.2 Å³ per cell



18.
YTe2IrS after structural relaxation, computed with PBE-GGA.

Unit cell a=5.155 b=5.155 c=4.991 alpha=90.00 beta=90.00 gamma=90.00
Element x y z (fractional)
Y 0.000 0.000 0.000
Te 0.000 0.500 0.500
Te 0.500 0.000 0.500
Ir 0.500 0.500 0.000
S 0.000 0.000 0.500

Computed properties:
space-group type: P4/mmm (123)
size of the total moment: 0.0 μB per formula unit
energy relative to the elements, uncorrected: 0.53 eV/atom
calculated total energy: -4.62 eV/atom
V: 132.6 Å³ per cell



19.
Y4Te2IrS after structural relaxation, computed with PBE-GGA.

Unit cell a=7.311 b=4.114 c=7.461 alpha=90.00 beta=108.48 gamma=90.00
Element x y z (fractional)
Y 0.226 0.000 0.206
Y 0.256 0.500 0.789
Y 0.744 0.500 0.211
Y 0.774 0.000 0.794
Te 0.000 0.000 0.500
Te 0.500 0.500 0.500
Ir 0.000 0.500 0.000
S 0.500 0.000 0.000

Computed properties:
space-group type: P2/m (10)
size of the total moment: 0.0 μB per formula unit
energy relative to the elements, uncorrected: -1.37 eV/atom
calculated total energy: -7.01 eV/atom
V: 212.8 Å³ per cell



20.
YTeIrS2 after structural relaxation, computed with PBE-GGA.

Unit cell a=4.498 b=4.498 c=6.109 alpha=90.00 beta=90.00 gamma=90.00
Element x y z (fractional)
Y 0.000 0.000 0.000
Te 0.500 0.500 0.000
Ir 0.000 0.000 0.500
S 0.000 0.500 0.500
S 0.500 0.000 0.500

Computed properties:
space-group type: P4/mmm (123)
size of the total moment: 0.0 μB per formula unit
energy relative to the elements, uncorrected: -0.32 eV/atom
calculated total energy: -5.66 eV/atom
V: 123.6 Å³ per cell